# RbBeCd2Pt | the Alexandria database | PBE-GGA | relaxed
data_RbBeCd2Pt
_chemical_formula_sum 'Rb1 Be1 Cd2 Pt1'
_cell_length_a 5.369
_cell_length_b 5.369
_cell_length_c 4.482
_cell_angle_alpha 90.00
_cell_angle_beta 90.00
_cell_angle_gamma 90.00
_symmetry_space_group_name_H-M 'P 4/m m m'
_symmetry_Int_Tables_number 123
_symmetry_space_group_name_Hall '-P 4 2'
loop_
_atom_site_label
_atom_site_type_symbol
_atom_site_fract_x
_atom_site_fract_y
_atom_site_fract_z
Rb1 Rb 0.000 0.000 0.000
Be1 Be 0.500 0.500 0.000
Cd1 Cd 0.000 0.500 0.500
Pt1 Pt 0.500 0.500 0.500
# Energy of formation from the pure elements (eV per atom): -0.0903
# Magnetization (μB/f.u.): 0.000
# Uncorrected energy (Ry/atom): -0.1913